TlV2GeO8 | PBE+U | relaxed

Results
symmetry	No. 164
E	-6.63	eV per atom
crystal system	trigonal

Unit cell a=5.586 b=5.586 c=6.543 alpha=90.00 beta=90.00 gamma=120.00
Element x y z (fractional)
1 Tl 0.000 0.000 0.000
2 V 0.333 0.667 0.248
3 V 0.667 0.333 0.752
4 Ge 0.000 0.000 0.500
5 O 0.156 0.313 0.325
6 O 0.156 0.844 0.325
7 O 0.313 0.156 0.675
8 O 0.333 0.667 0.997
9 O 0.667 0.333 0.003
10 O 0.687 0.844 0.325
11 O 0.844 0.156 0.675
12 O 0.844 0.687 0.675